(1)
This record from the Alexandria database describes a relaxed structure of MgPa2Se6. The functional is PBE-GGA.

Cell: 6.809 6.561 13.729 Å, 90.00 119.69 90.00°
Space group P2_1/c (No. 14)
Symmetry-distinct sites (fractional):
Mg  0.000  0.000  0.000 (multiplicity 2)
Pa  0.324  0.001  0.824 (multiplicity 4)
Se  0.008  0.748  0.337 (multiplicity 4)
Se  0.333  0.750  0.162 (multiplicity 4)
Se  0.338  0.224  0.000 (multiplicity 4)

## Properties
The value obtained for the energy relative to the lowest polymorph listed for this composition is 0.0000 eV/atom.

---

(2)
This record from the Alexandria database describes a relaxed structure of MgPa2Se6. The functional is PBE-GGA.

Cell: 6.591 6.591 12.301 Å, 90.00 90.00 90.00°
Space group P4_2/mnm (No. 136)
Symmetry-distinct sites (fractional):
Mg  0.000  0.000  0.000 (multiplicity 2)
Pa  0.000  0.000  0.330 (multiplicity 4)
Se  0.194  0.194  0.500 (multiplicity 4)
Se  0.200  0.200  0.163 (multiplicity 8)

## Properties
The value obtained for the energy relative to the lowest polymorph listed for this composition is 0.0229 eV/atom.

---

(3)
This record from the Alexandria database describes a relaxed structure of MgPa3Se6. The functional is PBE-GGA.

Cell: 11.242 13.594 6.900 Å, 90.00 90.00 90.00°
Space group Cmc2_1 (No. 36)
Symmetry-distinct sites (fractional):
Mg  0.000  0.198  0.000 (multiplicity 4)
Pa  0.000  0.405  0.632 (multiplicity 4)
Pa  0.175  0.095  0.525 (multiplicity 8)
Se  0.000  0.028  0.816 (multiplicity 4)
Se  0.000  0.230  0.365 (multiplicity 4)
Se  0.164  0.459  0.330 (multiplicity 8)
Se  0.175  0.271  0.799 (multiplicity 8)

---

(4)
This record from the Alexandria database describes a relaxed structure of MgPa6Se12. The functional is PBE-GGA.

Cell: 12.6496 12.6496 11.3503 Å, 90.00 90.00 120.00°
Space group R-3 (No. 148, hexagonal axes)
Symmetry-distinct sites (fractional):
Mg  0.0000  0.0000  0.0000 (multiplicity 3)
Pa  0.0525  0.7773  0.6463 (multiplicity 18)
Se  0.0351  0.8228  0.3890 (multiplicity 18)
Se  0.0501  0.8456  0.8866 (multiplicity 18)

---

(5)
This record from the Alexandria database describes a relaxed structure of Mg5Pa3Se12. The functional is PBE-GGA.

Cell: 16.031 16.031 16.031 Å, 90.00 90.00 90.00°
Space group Ia-3d (No. 230)
Symmetry-distinct sites (fractional):
Mg  0.000  0.000  0.000 (multiplicity 16)
Mg  0.000  0.250  0.375 (multiplicity 24)
Pa  0.000  0.250  0.125 (multiplicity 24)
Se  0.022  0.068  0.652 (multiplicity 96)

---

(6)
This record from the Alexandria database describes a relaxed structure of MgPaSe3. The functional is PBE-GGA.

Cell: 4.245 21.754 6.883 Å, 90.00 90.00 90.00°
Space group Cmc2_1 (No. 36)
Symmetry-distinct sites (fractional):
Mg  0.000  0.113  0.000 (multiplicity 4)
Pa  0.000  0.332  0.088 (multiplicity 4)
Se  0.000  0.116  0.373 (multiplicity 4)
Se  0.000  0.224  0.820 (multiplicity 4)
Se  0.000  0.431  0.343 (multiplicity 4)

## Properties
The value obtained for the energy relative to the lowest polymorph listed for this composition is 0.0000 eV/atom.

---

(7)
This record from the Alexandria database describes a relaxed structure of MgPaSe4. The functional is PBE-GGA.

Cell: 7.671 6.807 6.732 Å, 90.00 112.61 90.00°
Space group P2_1/c (No. 14)
Symmetry-distinct sites (fractional):
Mg  0.000  0.000  0.000 (multiplicity 2)
Pa  0.500  0.000  0.500 (multiplicity 2)
Se  0.194  0.243  0.816 (multiplicity 4)
Se  0.300  0.749  0.663 (multiplicity 4)

---

(8)
This record from the Alexandria database describes a relaxed structure of Mg2PaTl3Se6. The functional is PBE-GGA.

Cell: 7.004 12.136 8.148 Å, 90.00 106.62 90.00°
Space group C2/m (No. 12)
Symmetry-distinct sites (fractional):
Mg  0.000  0.167  0.000 (multiplicity 4)
Pa  0.000  0.500  0.000 (multiplicity 2)
Tl  0.000  0.000  0.500 (multiplicity 2)
Tl  0.000  0.334  0.500 (multiplicity 4)
Se  0.232  0.334  0.198 (multiplicity 8)
Se  0.234  0.000  0.199 (multiplicity 4)

---

(9)
This record from the Alexandria database describes a relaxed structure of MgPaTl2Se4. The functional is PBE-GGA.

Cell: 7.055 4.131 8.206 Å, 90.00 107.06 90.00°
Space group P2/m (No. 10)
Symmetry-distinct sites (fractional):
Mg  0.000  0.000  0.000 (multiplicity 1)
Pa  0.500  0.500  0.000 (multiplicity 1)
Tl  0.000  0.500  0.500 (multiplicity 1)
Tl  0.500  0.000  0.500 (multiplicity 1)
Se  0.227  0.500  0.193 (multiplicity 2)
Se  0.264  0.000  0.794 (multiplicity 2)

---

(10)
This record from the Alexandria database describes a relaxed structure of MgPaSi2. The functional is PBE-GGA.

Cell: 4.4466 4.4466 13.7737 Å, 90.00 90.00 120.00°
Space group R-3m (No. 166, hexagonal axes)
Symmetry-distinct sites (fractional):
Mg  0.0000  0.0000  0.0000 (multiplicity 3)
Pa  0.0000  0.0000  0.5000 (multiplicity 3)
Si  0.0000  0.0000  0.2675 (multiplicity 6)

---

For the records above, the corresponding total energy values read -0.2149 -0.2141 -0.2333 -0.2409 -0.1874 -0.2024 -0.1898 -0.1610 -0.1727 -0.2080 Ha/atom.